ScAlGaNi2 | PBE | relaxed

a b c (Å): 4.479 4.479 5.327
angles (deg): 90.00 90.00 90.00
Element x y z (fractional)
Sc 0.000 0.000 0.000
Al 0.000 0.000 0.500
Ga 0.500 0.500 0.500
Ni 0.000 0.500 0.000
Ni 0.500 0.000 0.000

* energy of formation: 0.949 eV per atom
* SG: P4/mmm (123)
* excess energy over the best structure of this formula in the dataset: 1.472 eV/atom